VASP calculation (PBE-GGA) on a relaxed NaPmTcN3 crystal.

Calculated values
Uncorrected formation energy in eV/atom: -0.41
Density of states at the Fermi level in states/eV per cell: 3.3

a b c (Å): 7.119 7.119 7.030
angles (deg): 106.15 106.15 31.72
Element x y z (fractional)
Na 0.138 0.138 0.077
Na 0.862 0.862 0.923
Pm 0.164 0.164 0.598
Pm 0.836 0.836 0.402
Tc 0.498 0.498 0.691
Tc 0.502 0.502 0.309
N 0.009 0.009 0.309
N 0.344 0.344 0.641
N 0.363 0.363 0.175
N 0.637 0.637 0.825
N 0.656 0.656 0.359
N 0.991 0.991 0.691